Entry 1:
Compound: Tl4Sn2Hg3
Source: Alexandria via LeMat-Bulk
Functional: GGA-PBE
Structure: optimized geometry

```
data_Tl4Sn2Hg3
_chemical_formula_sum 'Tl16 Sn8 Hg12'
_symmetry_space_group_name_H-M 'C 1 2/c 1'
_symmetry_Int_Tables_number 15
_cell_length_a 15.2955
_cell_length_b 10.4866
_cell_length_c 6.7571
_cell_angle_alpha 90.00
_cell_angle_beta 103.33
_cell_angle_gamma 90.00
loop_
_symmetry_equiv_pos_as_xyz
'x,y,z'
'-x,-y,-z'
'-x,y,-z+1/2'
'x,-y,z+1/2'
'x+1/2,y+1/2,z'
'-x+1/2,-y+1/2,-z'
'-x+1/2,y+1/2,-z+1/2'
'x+1/2,-y+1/2,z+1/2'
loop_
_atom_site_label
_atom_site_type_symbol
_atom_site_fract_x
_atom_site_fract_y
_atom_site_fract_z
Tl1 Tl 0.0106 0.1720 0.0034
Tl2 Tl 0.1635 0.3461 0.3477
Sn1 Sn 0.1861 0.3273 0.8363
Hg1 Hg 0.0000 0.4606 0.7500
Hg2 Hg 0.1643 0.0115 0.7714
```

## Properties
E_tot (hartree per atom): -0.07384
Mass density (g cm⁻³): 10.4
Fermi-level density of states (states/eV/cell): 15.66
Energy relative to the elements (eV/f.u.): 0.29

***

Entry 2:
Compound: Cr4Ni
Source: Alexandria via LeMat-Bulk
Functional: GGA-PBE
Structure: optimized geometry

```
data_Cr4Ni
_chemical_formula_sum 'Cr16 Ni4'
_symmetry_space_group_name_H-M 'F m m m'
_symmetry_Int_Tables_number 69
_symmetry_space_group_name_Hall '-F 2 2'
_cell_length_a 2.8991
_cell_length_b 3.9014
_cell_length_c 20.1099
_cell_angle_alpha 90.00
_cell_angle_beta 90.00
_cell_angle_gamma 90.00
loop_
_atom_site_label
_atom_site_type_symbol
_atom_site_fract_x
_atom_site_fract_y
_atom_site_fract_z
Cr1 Cr 0.0000 0.0000 0.0987
Cr2 Cr 0.0000 0.0000 0.3009
Ni1 Ni 0.0000 0.0000 0.5000
```

## Properties
E_tot (hartree per atom): -0.32492
Energy relative to the lowest polymorph listed for this composition (eV per atom): 0.000
Mass density (g cm⁻³): 7.8
Fermi-level density of states (states/eV/cell): 17.79
Energy relative to the elements (eV/f.u.): 0.07

***

Entry 3:
Compound: LiTe2Pt
Source: Alexandria via LeMat-Bulk
Functional: GGA-PBE
Structure: optimized geometry

```
data_LiTe2Pt
_chemical_formula_sum 'Li1 Te2 Pt1'
_symmetry_space_group_name_H-M 'P m m m'
_symmetry_Int_Tables_number 47
_cell_length_a 3.1275
_cell_length_b 3.6633
_cell_length_c 7.5861
_cell_angle_alpha 90.00
_cell_angle_beta 90.00
_cell_angle_gamma 90.00
loop_
_symmetry_equiv_pos_as_xyz
'x,y,z'
'-x,-y,-z'
'-x,-y,z'
'x,y,-z'
'x,-y,-z'
'-x,y,z'
'-x,y,-z'
'x,-y,z'
loop_
_atom_site_label
_atom_site_type_symbol
_atom_site_fract_x
_atom_site_fract_y
_atom_site_fract_z
Li1 Li 0.0000 0.0000 0.0000
Te1 Te 0.5000 0.5000 0.2601
Pt1 Pt 0.0000 0.0000 0.5000
```

## Properties
E_tot (hartree per atom): -0.13383
Mass density (g cm⁻³): 8.7
Fermi-level density of states (states/eV/cell): 2.79

***

Entry 4:
Compound: MgSi2Mo2
Source: Alexandria via LeMat-Bulk
Functional: GGA-PBE
Structure: optimized geometry

```
data_MgSi2Mo2
_chemical_formula_sum 'Mg2 Si4 Mo4'
_symmetry_space_group_name_H-M 'P 4/m b m'
_symmetry_Int_Tables_number 127
_symmetry_space_group_name_Hall '-P 4 2ab'
_cell_length_a 7.0139
_cell_length_b 7.0139
_cell_length_c 3.1787
_cell_angle_alpha 90.00
_cell_angle_beta 90.00
_cell_angle_gamma 90.00
loop_
_atom_site_label
_atom_site_type_symbol
_atom_site_fract_x
_atom_site_fract_y
_atom_site_fract_z
Mg1 Mg 0.0000 0.0000 0.0000
Si1 Si 0.1444 0.3556 0.5000
Mo1 Mo 0.1460 0.6460 0.0000
```

## Properties
E_tot (hartree per atom): -0.25335
Energy relative to the lowest polymorph listed for this composition (eV per atom): 0.267
Mass density (g cm⁻³): 5.8
Fermi-level density of states (states/eV/cell): 5.80

***

Entry 5:
Compound: Tb3NdPd2
Source: Alexandria via LeMat-Bulk
Functional: GGA-PBE
Structure: optimized geometry

```
data_Tb3NdPd2
_chemical_formula_sum 'Tb12 Nd4 Pd8'
_symmetry_space_group_name_H-M 'C 1 2/c 1'
_symmetry_Int_Tables_number 15
_cell_length_a 12.7832
_cell_length_b 6.8389
_cell_length_c 7.8443
_cell_angle_alpha 90.00
_cell_angle_beta 107.87
_cell_angle_gamma 90.00
loop_
_symmetry_equiv_pos_as_xyz
'x,y,z'
'-x,-y,-z'
'-x,y,-z+1/2'
'x,-y,z+1/2'
'x+1/2,y+1/2,z'
'-x+1/2,-y+1/2,-z'
'-x+1/2,y+1/2,-z+1/2'
'x+1/2,-y+1/2,z+1/2'
loop_
_atom_site_label
_atom_site_type_symbol
_atom_site_fract_x
_atom_site_fract_y
_atom_site_fract_z
Tb1 Tb 0.0000 0.2416 0.2500
Tb2 Tb 0.2134 0.4987 0.6067
Nd1 Nd 0.0000 0.2618 0.7500
Pd1 Pd 0.1227 0.0007 0.0614
```

## Properties
E_tot (hartree per atom): -0.19721
Mass density (g cm⁻³): 8.5
Fermi-level density of states (states/eV/cell): 28.63
Energy relative to the elements (eV/f.u.): -3.15

***

Entry 6:
Compound: Pr15DyY4
Source: Alexandria via LeMat-Bulk
Functional: GGA-PBE
Structure: optimized geometry

```
data_Pr15DyY4
_chemical_formula_sum 'Pr15 Dy1 Y4'
_symmetry_space_group_name_H-M 'P 4/m m m'
_symmetry_Int_Tables_number 123
_symmetry_space_group_name_Hall '-P 4 2'
_cell_length_a 5.2083
_cell_length_b 5.2083
_cell_length_c 25.9229
_cell_angle_alpha 90.00
_cell_angle_beta 90.00
_cell_angle_gamma 90.00
loop_
_atom_site_label
_atom_site_type_symbol
_atom_site_fract_x
_atom_site_fract_y
_atom_site_fract_z
Pr1 Pr 0.0000 0.0000 0.0000
Pr2 Pr 0.0000 0.0000 0.1999
Pr3 Pr 0.0000 0.0000 0.4001
Pr4 Pr 0.0000 0.5000 0.0997
Pr5 Pr 0.0000 0.5000 0.3001
Pr6 Pr 0.0000 0.5000 0.5000
Dy1 Dy 0.5000 0.5000 0.0000
Y1 Y 0.5000 0.5000 0.2000
Y2 Y 0.5000 0.5000 0.4001
```

## Properties
E_tot (hartree per atom): -0.18744
Mass density (g cm⁻³): 6.2
Fermi-level density of states (states/eV/cell): 27.56
Energy relative to the elements (eV/f.u.): 0.14

***

Entry 7:
Compound: IrPtSe2
Source: Alexandria via LeMat-Bulk
Functional: GGA-PBE
Structure: optimized geometry

```
data_IrPtSe2
_chemical_formula_sum 'Ir2 Pt2 Se4'
_symmetry_space_group_name_H-M 'I m m m'
_symmetry_Int_Tables_number 71
_symmetry_space_group_name_Hall '-I 2 2'
_cell_length_a 3.8178
_cell_length_b 4.0135
_cell_length_c 11.8842
_cell_angle_alpha 90.00
_cell_angle_beta 90.00
_cell_angle_gamma 90.00
loop_
_atom_site_label
_atom_site_type_symbol
_atom_site_fract_x
_atom_site_fract_y
_atom_site_fract_z
Ir1 Ir 0.0000 0.0000 0.0000
Pt1 Pt 0.0000 0.0000 0.5000
Se1 Se 0.0000 0.5000 0.3641
```

## Properties
E_tot (hartree per atom): -0.20322
Mass density (g cm⁻³): 9.9
Fermi-level density of states (states/eV/cell): 3.09

***

Entry 8:
Compound: MnSi2N
Source: Alexandria via LeMat-Bulk
Functional: GGA-PBE
Structure: optimized geometry

```
data_MnSi2N
_chemical_formula_sum 'Mn2 Si4 N2'
_symmetry_space_group_name_H-M 'A m m 2'
_symmetry_Int_Tables_number 38
_cell_length_a 2.9126
_cell_length_b 2.6920
_cell_length_c 11.4655
_cell_angle_alpha 90.00
_cell_angle_beta 90.00
_cell_angle_gamma 90.00
loop_
_symmetry_equiv_pos_as_xyz
'x,y,z'
'-x,-y,z'
'-x,y,z'
'x,-y,z'
'x,y+1/2,z+1/2'
'-x,-y+1/2,z+1/2'
'-x,y+1/2,z+1/2'
'x,-y+1/2,z+1/2'
loop_
_atom_site_label
_atom_site_type_symbol
_atom_site_fract_x
_atom_site_fract_y
_atom_site_fract_z
Mn1 Mn 0.0000 0.0000 0.0000
Si1 Si 0.5000 0.0000 0.3648
Si2 Si 0.5000 0.0000 0.6147
N1 N 0.5000 0.0000 0.7669
```

## Properties
E_tot (hartree per atom): -0.27430
Mass density (g cm⁻³): 4.6
Fermi-level density of states (states/eV/cell): 3.43

***

Entry 9:
Compound: Y6AlNi2
Source: Alexandria via LeMat-Bulk
Functional: GGA-PBE
Structure: optimized geometry

```
data_Y6AlNi2
_chemical_formula_sum 'Y24 Al4 Ni8'
_symmetry_space_group_name_H-M 'I m m m'
_symmetry_Int_Tables_number 71
_symmetry_space_group_name_Hall '-I 2 2'
_cell_length_a 9.3431
_cell_length_b 9.6433
_cell_length_c 10.0546
_cell_angle_alpha 90.00
_cell_angle_beta 90.00
_cell_angle_gamma 90.00
loop_
_atom_site_label
_atom_site_type_symbol
_atom_site_fract_x
_atom_site_fract_y
_atom_site_fract_z
Y1 Y 0.0000 0.1958 0.2368
Y2 Y 0.1929 0.5000 0.1746
Y3 Y 0.2159 0.3185 0.5000
Al1 Al 0.0000 0.0000 0.0000
Al2 Al 0.0000 0.0000 0.5000
Ni1 Ni 0.0000 0.3441 0.0000
Ni2 Ni 0.0000 0.5000 0.3810
```

## Properties
E_tot (hartree per atom): -0.23271
Mass density (g cm⁻³): 5.0
Fermi-level density of states (states/eV/cell): 35.95
Energy relative to the elements (eV/f.u.): -2.90

***

Entry 10:
Compound: NaSr3Pd
Source: Alexandria via LeMat-Bulk
Functional: GGA-PBE
Structure: optimized geometry

```
data_NaSr3Pd
_chemical_formula_sum 'Na2 Sr6 Pd2'
_symmetry_space_group_name_H-M 'P 1 2 1'
_symmetry_Int_Tables_number 3
_cell_length_a 8.5040
_cell_length_b 6.0385
_cell_length_c 9.5710
_cell_angle_alpha 90.00
_cell_angle_beta 116.25
_cell_angle_gamma 90.00
loop_
_symmetry_equiv_pos_as_xyz
'x,y,z'
'-x,y,-z'
loop_
_atom_site_label
_atom_site_type_symbol
_atom_site_fract_x
_atom_site_fract_y
_atom_site_fract_z
Na1 Na 0.1203 0.0000 0.2413
Sr1 Sr 0.0000 0.5007 0.5000
Sr2 Sr 0.2520 0.5006 0.0005
Sr3 Sr 0.3698 0.0008 0.7392
Sr4 Sr 0.5000 0.5007 0.5000
Pd1 Pd 0.3734 0.5008 0.7485
```

## Properties
E_tot (hartree per atom): -0.09514
Energy relative to the lowest polymorph listed for this composition (eV per atom): 0.008
Mass density (g cm⁻³): 3.0
Fermi-level density of states (states/eV/cell): 6.54
Energy relative to the elements (eV/f.u.): -1.39

***

- Fermi-level density of states of number 9 (Y6AlNi2)?
  35.95 states/eV/cell